The following is a DFT calculation (PBEsol) of an optimized crystal structure of TlSb2Te2.

Computed properties:
**E_form (uncorrected)**: 104.1 meV per atom

Lattice parameters (Å, degrees): 4.3286 4.3286 8.7528 104.32 104.32 90.00
Closest atoms and distances in Å follow each position.
Atoms (fractional coordinates):
Te  0.4073  0.4073  0.8146  1 Te 3.04, 4 Sb 3.37
Te  0.5927  0.5927  0.1854  1 Te 3.04, 4 Sb 3.37
Tl  0.0000  0.0000  0.0000  8 Te 3.42
Sb  0.2500  0.7500  0.5000  4 Sb 3.06, 4 Te 3.37
Sb  0.7500  0.2500  0.5000  4 Sb 3.06, 4 Te 3.37

The following is a DFT calculation (PBEsol) of an optimized crystal structure of TlIn2Re.

Computed properties:
**Relative energy among the computed polymorphs**: 28 meV per atom
**ΔE_f**: 0.7138 eV per atom

Lattice parameters (Å, degrees): 4.2499 4.2499 5.2928 113.67 113.67 90.00
Closest atoms and distances in Å follow each position.
Atoms (fractional coordinates):
In  0.0000  0.0000  0.0000  4 Re 3.01, 4 Tl 3.04, 4 In 3.04
In  0.7500  0.2500  0.5000  4 Tl 3.01, 4 In 3.04, 4 Re 3.04
Tl  0.2500  0.7500  0.5000  8 In 3.01-3.04, 4 Re 3.04
Re  0.5000  0.5000  0.0000  8 In 3.01-3.04, 4 Tl 3.04

The following is a DFT calculation (PBEsol) of an optimized crystal structure of AlAuSe.

Computed properties:
**Relative energy among the computed polymorphs**: 15 meV per atom
**E_form (uncorrected)**: -65.8 meV per atom

Lattice parameters (Å, degrees): 4.4402 4.4402 4.4402 60.00 60.00 60.00
Closest atoms and distances in Å follow each position.
Atoms (fractional coordinates):
Al  0.5000  0.5000  0.5000  4 Au 2.72
Se  0.0000  0.0000  0.0000  4 Au 2.72
Au  0.2500  0.2500  0.2500  4 Se 2.72, 4 Al 2.72

The following is a DFT calculation (PBEsol) of an optimized crystal structure of LiP2Au.

Computed properties:
**Relative energy among the computed polymorphs**: 297 meV per atom
**ΔE_f**: -0.0557 eV per atom

Lattice parameters (Å, degrees): 3.1884 3.9917 5.5146 111.22 106.80 90.00
Closest atoms and distances in Å follow each position.
Atoms (fractional coordinates):
Li  0.2630  0.7630  0.5261  6 P 2.58-2.85, 2 Au 2.75
Au  0.4558  0.4558  0.9117  6 P 2.73-2.75, 2 Li 2.75
P  0.7263  0.2263  0.4526  2 P 2.31, 4 Li 2.58
P  0.0548  0.0548  0.1096  2 P 2.31

What are the E_tot values for these records? In order: -3.655; -4.768; -4.021; -4.424 eV/atom.